1 | This record from Alexandria describes Tl3CdSn after structural relaxation. The functional is GGA-PBE.

a = 7.6082 Å, b = 7.0625 Å, c = 11.3433 Å
α = 90.00°, β = 87.17°, γ = 90.00°
Closest atoms and distances in Å follow each position.
Positions (direct):
Tl (0.1524, 0.8008, 0.0884)  2 Cd 3.06-3.26, 3 Sn 3.19-3.33
Tl (0.5547, 0.1988, 0.4141)  1 Cd 3.09, 2 Sn 3.18-3.32, 1 Tl 3.35
Tl (0.6907, 0.5918, 0.1588)  3 Cd 3.30-3.56, 4 Tl 3.35-3.49, 1 Sn 3.42
Tl (0.8476, 0.1992, 0.9116)  2 Cd 3.06-3.26, 3 Sn 3.19-3.33
Tl (0.4453, 0.1988, 0.0859)  1 Cd 3.09, 2 Sn 3.18-3.32, 1 Tl 3.35
Tl (0.8476, 0.8008, 0.4116)  2 Cd 3.06-3.26, 3 Sn 3.19-3.33
Tl (0.3093, 0.5918, 0.3412)  3 Cd 3.30-3.56, 4 Tl 3.35-3.49, 1 Sn 3.42
Tl (0.5547, 0.8012, 0.9141)  1 Cd 3.09, 2 Sn 3.18-3.32, 1 Tl 3.35
Tl (0.4453, 0.8012, 0.5859)  1 Cd 3.09, 2 Sn 3.18-3.32, 1 Tl 3.35
Tl (0.1524, 0.1992, 0.5884)  2 Cd 3.06-3.26, 3 Sn 3.19-3.33
Tl (0.6907, 0.4082, 0.6588)  3 Cd 3.30-3.56, 4 Tl 3.35-3.49, 1 Sn 3.42
Tl (0.3093, 0.4082, 0.8412)  3 Cd 3.30-3.56, 4 Tl 3.35-3.49, 1 Sn 3.42
Cd (0.0753, 0.3778, 0.1206)  4 Tl 3.06-3.30, 1 Cd 3.10, 2 Sn 3.10-3.32
Cd (0.0753, 0.6222, 0.6206)  4 Tl 3.06-3.30, 1 Cd 3.10, 2 Sn 3.10-3.32
Cd (0.9247, 0.3778, 0.3794)  4 Tl 3.06-3.30, 1 Cd 3.10, 2 Sn 3.10-3.32
Cd (0.9247, 0.6222, 0.8794)  4 Tl 3.06-3.30, 1 Cd 3.10, 2 Sn 3.10-3.32
Sn (0.1928, 0.0579, 0.3166)  2 Cd 3.10-3.32, 6 Tl 3.18-3.42, 1 Sn 3.37
Sn (0.8072, 0.9421, 0.6834)  2 Cd 3.10-3.32, 6 Tl 3.18-3.42, 1 Sn 3.37
Sn (0.8072, 0.0579, 0.1834)  2 Cd 3.10-3.32, 6 Tl 3.18-3.42, 1 Sn 3.37
Sn (0.1928, 0.9421, 0.8166)  2 Cd 3.10-3.32, 6 Tl 3.18-3.42, 1 Sn 3.37

***

2 | This record from Alexandria describes Tl3CdSn after structural relaxation. The functional is GGA-PBE.

a = 3.6287 Å, b = 6.8726 Å, c = 12.0197 Å
α = 92.47°, β = 89.92°, γ = 75.14°
Closest atoms and distances in Å follow each position.
Positions (direct):
Tl (0.8677, 0.2696, 0.4623)  4 Sn 3.37-3.43, 8 Tl 3.49-3.75
Tl (0.1323, 0.7304, 0.5377)  4 Sn 3.37-3.43, 8 Tl 3.49-3.75
Tl (0.7388, 0.5125, 0.7497)  2 Cd 3.33-3.35, 2 Sn 3.35-3.39, 7 Tl 3.48-3.71
Tl (0.2612, 0.4875, 0.2503)  2 Cd 3.33-3.35, 2 Sn 3.35-3.39, 7 Tl 3.48-3.71
Tl (0.6417, 0.7163, 0.0420)  4 Cd 3.23-3.34, 4 Tl 3.48-3.52, 1 Sn 3.55
Tl (0.3583, 0.2837, 0.9580)  4 Cd 3.23-3.34, 4 Tl 3.48-3.52, 1 Sn 3.55
Sn (0.5516, 0.8997, 0.3243)  2 Cd 3.09, 6 Tl 3.35-3.43
Sn (0.4484, 0.1003, 0.6757)  2 Cd 3.09, 6 Tl 3.35-3.43
Cd (0.0451, 0.9033, 0.8481)  2 Sn 3.09, 6 Tl 3.23-3.35
Cd (0.9549, 0.0967, 0.1519)  2 Sn 3.09, 6 Tl 3.23-3.35

***

From most stable to least stable, the computed energies give 2, 1.

***

1 | This record from Alexandria describes TlCdSn after structural relaxation. The functional is GGA-PBE.

a = 4.5986 Å, b = 4.5986 Å, c = 10.0185 Å
α = 90.00°, β = 90.00°, γ = 120.00°
Closest atoms and distances in Å follow each position.
Positions (direct):
Tl (0.0000, 0.0000, 0.0216)  3 Sn 3.16, 3 Tl 3.38
Tl (0.6667, 0.3333, 0.2302)  1 Cd 3.23, 3 Sn 3.27, 3 Tl 3.38
Sn (0.0000, 0.0000, 0.4212)  3 Cd 2.97, 3 Tl 3.27
Sn (0.6667, 0.3333, 0.8505)  4 Cd 2.98-3.02, 3 Tl 3.16
Cd (0.3333, 0.6667, 0.7078)  3 Sn 3.02, 3 Cd 3.07
Cd (0.6667, 0.3333, 0.5530)  4 Sn 2.97-2.98, 3 Cd 3.07, 1 Tl 3.23

***

2 | This record from Alexandria describes TlCdSn after structural relaxation. The functional is GGA-PBE.

a = 5.4693 Å, b = 5.5880 Å, c = 6.7174 Å
α = 97.06°, β = 117.98°, γ = 104.57°
Closest atoms and distances in Å follow each position.
Positions (direct):
Tl (0.2998, 0.1836, 0.0497)  4 Cd 3.25-3.50, 3 Sn 3.27-3.53, 2 Tl 3.30-3.52
Tl (0.5715, 0.8027, 0.8679)  3 Cd 3.26-3.55, 2 Tl 3.30-3.52, 4 Sn 3.31-3.44
Cd (0.2327, 0.1587, 0.5032)  3 Sn 3.00-3.32, 2 Cd 3.12-3.32, 1 Tl 3.25
Cd (0.9830, 0.5356, 0.2289)  4 Sn 3.11-3.43, 2 Cd 3.12-3.32, 3 Tl 3.26-3.38
Sn (0.8776, 0.4424, 0.6825)  2 Cd 3.02-3.32, 2 Sn 3.12-3.31, 3 Tl 3.27-3.38
Sn (0.6444, 0.8252, 0.4082)  3 Cd 3.00-3.26, 2 Sn 3.12-3.31, 1 Tl 3.31

***

3 | This record from Alexandria describes TlCdSn after structural relaxation. The functional is GGA-PBE.

a = 4.5444 Å, b = 4.5449 Å, c = 8.3537 Å
α = 90.00°, β = 89.99°, γ = 90.00°
Closest atoms and distances in Å follow each position.
Positions (direct):
Cd (0.7497, 0.2500, 0.0000)  4 Sn 3.06, 4 Cd 3.21-3.22
Cd (0.2503, 0.7500, 0.0000)  4 Sn 3.06, 4 Cd 3.21-3.22
Tl (0.2504, 0.2500, 0.3562)  5 Sn 3.33-3.35
Tl (0.7496, 0.7500, 0.6438)  5 Sn 3.33-3.35
Sn (0.7504, 0.7500, 0.2447)  4 Cd 3.06, 5 Tl 3.33-3.35
Sn (0.2496, 0.2500, 0.7553)  4 Cd 3.06, 5 Tl 3.33-3.35

***

From most stable to least stable, the computed energies give 3, 2, 1.

***

1 | This record from Alexandria describes Tl2Cd2Sn after structural relaxation. The functional is GGA-PBE.

a = 7.6752 Å, b = 7.6752 Å, c = 4.8849 Å
α = 90.00°, β = 90.00°, γ = 90.00°
Closest atoms and distances in Å follow each position.
Positions (direct):
Cd (0.6342, 0.1342, 0.0000)  1 Cd 2.91, 2 Sn 2.99, 2 Tl 3.23
Cd (0.8658, 0.6342, 0.0000)  1 Cd 2.91, 2 Sn 2.99, 2 Tl 3.23
Cd (0.3658, 0.8658, 0.0000)  1 Cd 2.91, 2 Sn 2.99, 2 Tl 3.23
Cd (0.1342, 0.3658, 0.0000)  1 Cd 2.91, 2 Sn 2.99, 2 Tl 3.23
Sn (0.0000, 0.0000, 0.0000)  4 Cd 2.99
Sn (0.5000, 0.5000, 0.0000)  4 Cd 2.99
Tl (0.8296, 0.3296, 0.5000)  6 Cd 3.23-3.39
Tl (0.3296, 0.1704, 0.5000)  6 Cd 3.23-3.39
Tl (0.1704, 0.6704, 0.5000)  6 Cd 3.23-3.39
Tl (0.6704, 0.8296, 0.5000)  6 Cd 3.23-3.39

***

2 | This record from Alexandria describes Tl2Cd2Sn after structural relaxation. The functional is GGA-PBE.

a = 5.3788 Å, b = 6.0971 Å, c = 9.6941 Å
α = 101.92°, β = 90.00°, γ = 116.17°
Closest atoms and distances in Å follow each position.
Positions (direct):
Cd (0.1339, 0.2678, 0.5807)  2 Cd 2.99-3.11, 2 Sn 3.12, 1 Tl 3.18
Cd (0.8661, 0.7322, 0.4193)  2 Cd 2.99-3.11, 2 Sn 3.12, 1 Tl 3.18
Cd (0.0309, 0.0617, 0.8542)  2 Cd 3.05-3.11, 1 Sn 3.10, 5 Tl 3.28-3.40
Cd (0.9691, 0.9383, 0.1458)  2 Cd 3.05-3.11, 1 Sn 3.10, 5 Tl 3.28-3.40
Tl (0.4321, 0.8643, 0.6440)  5 Cd 3.18-3.43, 3 Sn 3.33-3.56, 2 Tl 3.45-3.47
Tl (0.6620, 0.3239, 0.0378)  3 Cd 3.28-3.36, 3 Sn 3.41-3.57, 4 Tl 3.45-3.48
Tl (0.3380, 0.6761, 0.9622)  3 Cd 3.28-3.36, 3 Sn 3.41-3.57, 4 Tl 3.45-3.48
Tl (0.5679, 0.1357, 0.3560)  5 Cd 3.18-3.43, 3 Sn 3.33-3.56, 2 Tl 3.45-3.47
Sn (0.2551, 0.5101, 0.2808)  4 Cd 3.10-3.46, 2 Tl 3.33-3.41
Sn (0.7449, 0.4899, 0.7192)  4 Cd 3.10-3.46, 2 Tl 3.33-3.41

***

From most stable to least stable, the computed energies give 2, 1.

***

1 | This record from Alexandria describes Tl2Cd2Sn after structural relaxation. The functional is GGA-PBE.

a = 9.1135 Å, b = 9.1135 Å, c = 3.3746 Å
α = 90.00°, β = 90.00°, γ = 90.00°
Closest atoms and distances in Å follow each position.
Positions (direct):
Sn (0.5000, 0.5000, 0.0000)  4 Tl 3.34, 2 Sn 3.37
Sn (0.0000, 0.0000, 0.0000)  4 Tl 3.34, 2 Sn 3.37
Tl (0.3193, 0.8193, 0.0000)  6 Cd 3.09-3.26, 2 Sn 3.34, 2 Tl 3.37
Tl (0.6807, 0.1807, 0.0000)  6 Cd 3.09-3.26, 2 Sn 3.34, 2 Tl 3.37
Tl (0.1807, 0.3193, 0.0000)  6 Cd 3.09-3.26, 2 Sn 3.34, 2 Tl 3.37
Tl (0.8193, 0.6807, 0.0000)  6 Cd 3.09-3.26, 2 Sn 3.34, 2 Tl 3.37
Cd (0.8814, 0.3814, 0.5000)  3 Cd 3.06-3.37, 6 Tl 3.09-3.26
Cd (0.1186, 0.6186, 0.5000)  3 Cd 3.06-3.37, 6 Tl 3.09-3.26
Cd (0.6186, 0.8814, 0.5000)  3 Cd 3.06-3.37, 6 Tl 3.09-3.26
Cd (0.3814, 0.1186, 0.5000)  3 Cd 3.06-3.37, 6 Tl 3.09-3.26

***

2 | This record from Alexandria describes Tl2Cd2Sn after structural relaxation. The functional is GGA-PBE.

a = 4.3993 Å, b = 4.3993 Å, c = 8.1272 Å
α = 74.30°, β = 74.30°, γ = 90.00°
Closest atoms and distances in Å follow each position.
Positions (direct):
Cd (0.4070, 0.4070, 0.1860)  1 Cd 2.79
Cd (0.5930, 0.5930, 0.8140)  1 Cd 2.79
Tl (0.2500, 0.7500, 0.5000)  4 Tl 3.11, 4 Cd 3.22
Tl (0.7500, 0.2500, 0.5000)  4 Tl 3.11, 4 Cd 3.22
Sn (0.0000, 0.0000, 0.0000)  8 Cd 3.41

***

3 | This record from Alexandria describes Tl2Cd2Sn after structural relaxation. The functional is GGA-PBE.

a = 4.0079 Å, b = 4.0079 Å, c = 9.6802 Å
α = 78.05°, β = 78.05°, γ = 90.00°
Closest atoms and distances in Å follow each position.
Positions (direct):
Tl (0.3998, 0.3998, 0.2003)  4 Sn 3.39, 4 Cd 3.42, 1 Tl 3.71
Tl (0.6002, 0.6002, 0.7997)  4 Sn 3.39, 4 Cd 3.42, 1 Tl 3.71
Cd (0.7500, 0.2500, 0.5000)  4 Cd 2.83
Cd (0.2500, 0.7500, 0.5000)  4 Cd 2.83
Sn (0.0000, 0.0000, 0.0000)  8 Tl 3.39

***

From most stable to least stable, the computed energies give 3, 1, 2.

***

1 | This record from Alexandria describes TlCd3Sn after structural relaxation. The functional is GGA-PBE.

a = 5.8763 Å, b = 9.5867 Å, c = 9.7459 Å
α = 103.58°, β = 90.00°, γ = 90.00°
Closest atoms and distances in Å follow each position.
Positions (direct):
Cd (0.6426, 0.9373, 0.6793)  3 Sn 3.01-3.18, 6 Cd 3.10-3.35
Cd (0.8950, 0.7673, 0.8664)  5 Cd 2.98-3.31, 1 Sn 3.08
Cd (0.6330, 0.6262, 0.0604)  4 Cd 2.89-3.22, 1 Sn 3.08
Cd (0.8574, 0.9373, 0.1793)  3 Sn 3.01-3.18, 6 Cd 3.10-3.35
Cd (0.8670, 0.6262, 0.5604)  4 Cd 2.89-3.22, 1 Sn 3.08
Cd (0.3670, 0.3738, 0.9396)  4 Cd 2.89-3.22, 1 Sn 3.08
Cd (0.1426, 0.0627, 0.8207)  3 Sn 3.01-3.18, 6 Cd 3.10-3.35
Cd (0.6050, 0.7673, 0.3664)  5 Cd 2.98-3.31, 1 Sn 3.08
Cd (0.1330, 0.3738, 0.4396)  4 Cd 2.89-3.22, 1 Sn 3.08
Cd (0.1050, 0.2327, 0.1336)  5 Cd 2.98-3.31, 1 Sn 3.08
Cd (0.3950, 0.2327, 0.6336)  5 Cd 2.98-3.31, 1 Sn 3.08
Cd (0.3574, 0.0627, 0.3207)  3 Sn 3.01-3.18, 6 Cd 3.10-3.35
Sn (0.1640, 0.8803, 0.5240)  5 Cd 3.01-3.18, 1 Sn 3.12
Sn (0.8360, 0.1197, 0.4760)  5 Cd 3.01-3.18, 1 Sn 3.12
Sn (0.3360, 0.8803, 0.0240)  5 Cd 3.01-3.18, 1 Sn 3.12
Sn (0.6640, 0.1197, 0.9760)  5 Cd 3.01-3.18, 1 Sn 3.12
Tl (0.8791, 0.3936, 0.7863)  8 Cd 3.26-3.62, 1 Sn 3.52
Tl (0.1209, 0.6064, 0.2137)  8 Cd 3.26-3.62, 1 Sn 3.52
Tl (0.6209, 0.3936, 0.2863)  8 Cd 3.26-3.62, 1 Sn 3.52
Tl (0.3791, 0.6064, 0.7137)  8 Cd 3.26-3.62, 1 Sn 3.52

***

2 | This record from Alexandria describes TlCd3Sn after structural relaxation. The functional is GGA-PBE.

a = 5.6524 Å, b = 5.6524 Å, c = 5.6524 Å
α = 90.00°, β = 90.00°, γ = 90.00°
Closest atoms and distances in Å follow each position.
Positions (direct):
Sn (0.0000, 0.0000, 0.0000)  6 Cd 2.83
Cd (0.5000, 0.0000, 0.0000)  2 Sn 2.83
Cd (0.0000, 0.0000, 0.5000)  2 Sn 2.83
Cd (0.0000, 0.5000, 0.0000)  2 Sn 2.83
Tl (0.5000, 0.5000, 0.5000)  12 Cd 4.00

***

From most stable to least stable, the computed energies give 1, 2.